This record from Alexandria via LeMat-Bulk describes an optimized crystal structure of PuPa4Tc. The functional is PBE.

Its energy of formation from the pure elements is 0.29 eV/f.u. The calculated total energy is -10.398 eV per atom. The calculation puts the density of states at the Fermi level at 8.69 states/eV/f.u. For the volume, the calculation gives 151.2 Å³/f.u.

The structure belongs to space group I4_1md (No. 109); the cell edges are 8.4367, 8.4367 and 8.4958 Å and the angles 90.00°, 90.00° and 90.00°. The distinct sites, in fractional coordinates, are Pu at (0.0000, 0.0000, 0.0000), Pa at (0.0000, 0.3039, 0.0100), Pa at (0.0000, 0.3081, 0.4666) and Tc at (0.0000, 0.0000, 0.4962).